Entry 1:
Compound: AcAl2Tc
Source: the Alexandria database
Functional: GGA-PBE
Structure: relaxed

Geometry as POSCAR:
```
AcAl2Tc
1.0
3.3197 0.0000 0.0000
0.0000 3.3197 0.0000
0.0000 0.0000 7.5402
Ac Al Tc
1 2 1
Direct
0.5000 0.5000 0.5000 Ac
0.0000 0.0000 0.8288 Al
0.0000 0.0000 0.1712 Al
0.5000 0.5000 0.0000 Tc
```

SG	No. 123
energy of formation from the pure elements	-0.17	eV/atom

***

Entry 2:
Compound: KTe3As
Source: the Alexandria database
Functional: GGA-PBE
Structure: relaxed

Geometry as POSCAR:
```
KTe3As
1.0
5.5960 0.0000 0.0000
0.0000 5.5960 0.0000
0.0000 0.0000 5.5960
Te K As
3 1 1
Direct
0.5000 0.0000 0.0000 Te
0.0000 0.0000 0.5000 Te
0.0000 0.5000 0.0000 Te
0.5000 0.5000 0.5000 K
0.0000 0.0000 0.0000 As
```

SG	No. 221
raw formation energy	-104	meV/atom

***

Entry 3:
Compound: K2BaCe3S8
Source: the Alexandria database
Functional: GGA-PBE
Structure: relaxed

Geometry as POSCAR:
```
K2BaCe3S8
1.0
8.4656 0.0000 0.0000
4.2328 7.3314 0.0000
4.2328 2.4438 7.3654
S K Ba Ce
8 2 1 3
Direct
0.3069 0.7487 0.1956 S
0.6931 0.2457 0.8155 S
0.2457 0.2457 0.8155 S
0.7329 0.7329 0.8013 S
0.2690 0.2690 0.1930 S
0.2457 0.6931 0.8155 S
0.7487 0.7487 0.1956 S
0.7487 0.3069 0.1956 S
0.1254 0.1254 0.6238 K
0.4978 0.4978 0.5066 K
0.8783 0.8783 0.3652 Ba
0.4986 0.4986 0.9995 Ce
0.4986 0.0032 0.9995 Ce
0.0032 0.4986 0.9995 Ce
```

SG	No. 160
raw formation energy	-1690	meV/atom

***

Entry 4:
Compound: K2CdCu
Source: the Alexandria database
Functional: GGA-PBE
Structure: relaxed

Geometry as POSCAR:
```
K2CdCu
1.0
-0.6717 1.9978 -4.2221
-4.9697 0.6565 1.1013
-1.1964 5.9130 2.9882
Cd K Cu
1 2 1
Direct
0.0000 0.6736 0.5271 Cd
0.5000 0.2711 0.3314 K
0.0000 0.9778 0.9194 K
0.5000 0.5775 0.7220 Cu
```

SG	No. 6
energy of formation from the pure elements	0.12	eV/atom

***

Entry 5:
Compound: CrW
Source: the Alexandria database
Functional: GGA-PBE
Structure: relaxed

Geometry as POSCAR:
```
CrW
1.0
-0.3049 -1.9701 -1.8779
-1.2980 -0.1873 2.4043
-7.2850 4.5394 -3.5794
Cr W
2 2
Direct
0.3333 0.6667 0.4096 Cr
0.6667 0.3333 0.9096 Cr
0.6667 0.3333 0.1724 W
0.3333 0.6667 0.6724 W
```

SG	No. 186
energy of formation from the pure elements	0.88	eV/atom

***

Entry 6:
Compound: KRuSe
Source: the Alexandria database
Functional: GGA-PBE
Structure: relaxed

Geometry as POSCAR:
```
KRuSe
1.0
6.5574 0.0046 -0.0049
5.7211 3.2051 -0.0051
0.8364 0.2197 3.1929
K Se Ru
1 1 1
Direct
0.0008 0.0008 0.9992 K
0.7123 0.7123 0.2877 Se
0.2869 0.2869 0.7131 Ru
```

SG	No. 107
raw formation energy	-43	meV/atom

***

Entry 7:
Compound: DyHo2Hf
Source: the Alexandria database
Functional: GGA-PBE
Structure: relaxed

Geometry as POSCAR:
```
DyHo2Hf
1.0
4.8283 0.0000 0.0000
0.0000 4.8256 0.0000
0.0000 0.0000 4.8256
Hf Ho Dy
1 2 1
Direct
0.5000 0.0000 0.0000 Hf
0.0000 0.0000 0.5000 Ho
0.0000 0.5000 0.0000 Ho
0.5000 0.5000 0.5000 Dy
```

SG	No. 123
energy of formation from the pure elements	0.14	eV/atom

***

Entry 8:
Compound: U2Ga8Ag
Source: the Alexandria database
Functional: GGA-PBE
Structure: relaxed

Geometry as POSCAR:
```
U2Ga8Ag
1.0
4.3458 0.0000 0.0000
0.0000 4.3458 0.0000
0.0000 0.0000 11.3231
Ga Ag U
8 1 2
Direct
0.0000 0.5000 0.5000 Ga
0.5000 0.0000 0.8624 Ga
0.5000 0.0000 0.5000 Ga
0.0000 0.5000 0.1376 Ga
0.5000 0.0000 0.1376 Ga
0.5000 0.5000 0.6848 Ga
0.5000 0.5000 0.3152 Ga
0.0000 0.5000 0.8624 Ga
0.0000 0.0000 0.0000 Ag
0.0000 0.0000 0.6845 U
0.0000 0.0000 0.3155 U
```

SG	No. 123
energy of formation from the pure elements	-0.17	eV/atom

***

Entry 9:
Compound: KZr2Ni
Source: the Alexandria database
Functional: GGA-PBE
Structure: relaxed

Geometry as POSCAR:
```
KZr2Ni
1.0
3.1727 0.0000 0.0000
0.0000 5.2122 0.0000
0.0000 0.0000 5.3876
K Zr Ni
1 2 1
Direct
0.5000 0.0000 0.5000 K
0.0000 0.0000 0.0000 Zr
0.5000 0.5000 0.0000 Zr
0.0000 0.5000 0.5000 Ni
```

SG	No. 47
energy of formation from the pure elements	0.85	eV/atom

***

Entry 10:
Compound: Sb2RuO2
Source: the Alexandria database
Functional: GGA-PBE
Structure: relaxed

Geometry as POSCAR:
```
Sb2RuO2
1.0
-0.5858 -0.1119 -3.3809
-2.9034 -1.7441 0.5608
-4.8673 4.3875 -1.0449
O Sb Ru
2 2 1
Direct
0.2500 0.7500 0.5000 O
0.7500 0.2500 0.5000 O
0.3628 0.3628 0.2745 Sb
0.6372 0.6372 0.7255 Sb
0.0000 0.0000 0.0000 Ru
```

SG	No. 139
raw formation energy	-293	meV/atom

***

Entry 11:
Compound: Cu3PSe4
Source: the Alexandria database
Functional: GGA-PBE
Structure: relaxed

Geometry as POSCAR:
```
Cu3PSe4
1.0
-1.0787 -5.9899 -2.1090
0.2781 -2.2792 6.3312
-7.6489 1.1175 0.7383
Se Cu P
8 6 2
Direct
0.3573 0.3216 0.5000 Se
0.8753 0.6468 0.5000 Se
0.8573 0.6784 0.0000 Se
0.3753 0.3532 0.0000 Se
0.8821 0.1630 0.2568 Se
0.3821 0.8370 0.7568 Se
0.3821 0.8370 0.2432 Se
0.8821 0.1630 0.7432 Se
0.4981 0.6543 0.5000 Cu
0.5096 0.1770 0.7526 Cu
0.9981 0.3457 0.0000 Cu
0.5096 0.1770 0.2474 Cu
0.0096 0.8230 0.2526 Cu
0.0096 0.8230 0.7474 Cu
0.9992 0.3278 0.5000 P
0.4992 0.6722 0.0000 P
```

SG	No. 31
raw formation energy	-146	meV/atom

***

Entry 12:
Compound: CdRuAu2
Source: the Alexandria database
Functional: GGA-PBE
Structure: relaxed

Geometry as POSCAR:
```
CdRuAu2
1.0
4.1650 0.0000 0.0000
0.0000 4.1659 0.0000
0.0000 0.0000 4.0317
Au Ru Cd
2 1 1
Direct
0.5000 0.5000 0.0000 Au
0.0000 0.0000 0.0000 Au
0.0000 0.5000 0.5000 Ru
0.5000 0.0000 0.5000 Cd
```

SG	No. 123
energy of formation from the pure elements	0.22	eV/atom

***

Entry 13:
Compound: PrGdAgOs
Source: the Alexandria database
Functional: GGA-PBE
Structure: relaxed

Geometry as POSCAR:
```
PrGdAgOs
1.0
-4.6866 0.0975 1.9410
-1.3102 -3.2905 3.6327
-0.7463 1.6268 4.7474
Os Ag Pr Gd
1 1 1 1
Direct
0.2500 0.2500 0.2500 Os
0.7500 0.7500 0.7500 Ag
0.5000 0.5000 0.5000 Pr
0.0000 0.0000 0.0000 Gd
```

SG	No. 216
energy of formation from the pure elements	-0.13	eV/atom

***

Entry 14:
Compound: BaSr3La
Source: the Alexandria database
Functional: GGA-PBE
Structure: relaxed

Geometry as POSCAR:
```
BaSr3La
1.0
-5.1471 -1.8925 -3.5811
-3.1863 -1.6833 5.4693
-2.5007 6.0402 0.4021
Sr Ba La
3 1 1
Direct
0.0000 0.5000 0.0000 Sr
0.5000 0.0000 0.0000 Sr
0.0000 0.0000 0.5000 Sr
0.5000 0.5000 0.5000 Ba
0.0000 0.0000 0.0000 La
```

SG	No. 221
energy of formation from the pure elements	0.48	eV/atom

***

Entry 15:
Compound: ZrZnIn2
Source: the Alexandria database
Functional: GGA-PBE
Structure: relaxed

Geometry as POSCAR:
```
ZrZnIn2
1.0
4.5691 0.0000 0.0000
0.0000 3.1554 -0.0342
0.0000 0.0635 5.9962
In Zn Zr
2 1 1
Direct
0.0000 0.2487 0.5041 In
0.0000 0.2513 0.9959 In
0.5000 0.2500 0.2500 Zn
0.5000 0.7500 0.7500 Zr
```

SG	No. 47
energy of formation from the pure elements	-0.08	eV/atom

***

Entry 16:
Compound: Li2Cd2AgAu4
Source: the Alexandria database
Functional: GGA-PBE
Structure: relaxed

Geometry as POSCAR:
```
Li2Cd2AgAu4
1.0
-5.7446 0.8470 1.9682
0.4430 -1.5900 -5.9049
2.8945 -4.7363 2.6040
Li Au Ag Cd
2 4 1 2
Direct
0.0000 0.3001 0.3001 Li
0.0000 0.6999 0.6999 Li
0.5644 0.2822 0.2822 Au
0.4356 0.7178 0.7178 Au
0.0000 0.2822 0.7178 Au
0.0000 0.7178 0.2822 Au
0.0000 0.0000 0.0000 Ag
0.5000 0.7500 0.2500 Cd
0.5000 0.2500 0.7500 Cd
```

SG	No. 139
energy of formation from the pure elements	-0.14	eV/atom

***

Entry 17:
Compound: Ba3PrIn2O6
Source: the Alexandria database
Functional: GGA-PBE
Structure: relaxed

Geometry as POSCAR:
```
Ba3PrIn2O6
1.0
-2.4838 5.4092 2.1934
-1.7866 -2.2460 -5.6572
-5.3235 -3.7261 3.1606
O In Ba Pr
6 2 3 1
Direct
0.1713 0.3427 0.3058 O
0.8287 0.1713 0.6942 O
0.3427 0.1713 0.6942 O
0.8287 0.6573 0.6942 O
0.1713 0.8287 0.3058 O
0.6573 0.8287 0.3058 O
0.6667 0.3333 0.8572 In
0.3333 0.6667 0.1428 In
0.3333 0.6667 0.6197 Ba
0.6667 0.3333 0.3803 Ba
0.0000 0.0000 0.0000 Ba
0.0000 0.0000 0.5000 Pr
```

SG	No. 164
raw formation energy	-2200	meV/atom

***

Entry 18:
Compound: LiRuI3
Source: the Alexandria database
Functional: GGA-PBE
Structure: relaxed

Geometry as POSCAR:
```
LiRuI3
1.0
-4.5133 -2.2529 -2.2313
2.3007 0.3442 -5.0013
2.1820 -5.0230 0.6580
I Li Ru
3 1 1
Direct
0.0000 0.5000 0.0000 I
0.5000 0.0000 0.0000 I
0.0000 0.0000 0.5000 I
0.5000 0.5000 0.5000 Li
0.0000 0.0000 0.0000 Ru
```

SG	No. 221
raw formation energy	15	meV/atom

***

Entry 19:
Compound: Cu3Se2S
Source: the Alexandria database
Functional: GGA-PBE
Structure: relaxed

Geometry as POSCAR:
```
Cu3Se2S
1.0
5.0516 0.0000 0.0000
0.0000 7.1601 0.0118
-2.5258 -1.7831 5.3591
Se S Cu
4 2 6
Direct
0.3314 0.9164 0.6639 Se
0.3325 0.4164 0.6639 Se
0.6686 0.0836 0.3361 Se
0.6675 0.5836 0.3361 Se
0.0006 0.7500 0.0000 S
0.9994 0.2500 0.0000 S
0.8455 0.4221 0.6897 Cu
0.1558 0.0779 0.3103 Cu
0.1545 0.5779 0.3103 Cu
0.4989 0.2500 0.0000 Cu
0.5011 0.7500 0.0000 Cu
0.8442 0.9221 0.6897 Cu
```

SG	No. 15
raw formation energy	-58	meV/atom

***

Entry 20:
Compound: BaPa4Pd3S12
Source: the Alexandria database
Functional: GGA-PBE
Structure: relaxed

Geometry as POSCAR:
```
BaPa4Pd3S12
1.0
-6.8021 -1.7769 -4.7782
0.6087 -5.6865 6.2889
-0.8100 7.7936 3.2956
S Pa Ba Pd
12 4 1 3
Direct
0.3102 0.8370 0.1471 S
0.1471 0.3102 0.8370 S
0.8370 0.1471 0.3102 S
0.1630 0.8529 0.6898 S
0.5268 0.6898 0.8370 S
0.6898 0.1630 0.8529 S
0.1630 0.4732 0.3102 S
0.6898 0.8370 0.5268 S
0.8529 0.6898 0.1630 S
0.4732 0.3102 0.1630 S
0.3102 0.1630 0.4732 S
0.8370 0.5268 0.6898 S
0.0000 0.0000 0.5000 Pa
0.5000 0.0000 0.0000 Pa
0.5000 0.5000 0.5000 Pa
0.0000 0.5000 0.0000 Pa
0.0000 0.0000 0.0000 Ba
0.0000 0.5000 0.5000 Pd
0.5000 0.0000 0.5000 Pd
0.5000 0.5000 0.0000 Pd
```

SG	No. 204
raw formation energy	-1247	meV/atom

***

| no. | M_tot (μB/cell) |
| --- | --- |
| 1 | 0.00 |
| 2 | 0.00 |
| 3 | 0.00 |
| 4 | 0.00 |
| 5 | 2.43 |
| 6 | 0.00 |
| 7 | 0.00 |
| 8 | 4.55 |
| 9 | 0.00 |
| 10 | 0.00 |
| 11 | 0.00 |
| 12 | 0.39 |
| 13 | 7.18 |
| 14 | 1.00 |
| 15 | 0.00 |
| 16 | 0.00 |
| 17 | 0.00 |
| 18 | 1.42 |
| 19 | 0.00 |
| 20 | 0.01 |